The following is a PBE calculation of crystalline NdSm6Dy2Th at its relaxed geometry, from Alexandria via LeMat-Bulk.

a b c (Å): 9.750 8.826 8.826
angles (deg): 116.21 94.16 94.16
Positions (direct):
Nd 0.250 0.405 0.595
Nd 0.750 0.595 0.405
Sm 0.058 0.109 0.758
Sm 0.442 0.242 0.891
Sm 0.942 0.891 0.242
Sm 0.558 0.758 0.109
Sm 0.316 0.982 0.423
Sm 0.184 0.577 0.018
Sm 0.684 0.018 0.577
Sm 0.816 0.423 0.982
Sm 0.119 0.702 0.487
Sm 0.381 0.513 0.298
Sm 0.881 0.298 0.513
Sm 0.619 0.487 0.702
Dy 0.450 0.803 0.711
Dy 0.050 0.289 0.197
Dy 0.550 0.197 0.289
Dy 0.950 0.711 0.803
Th 0.250 0.970 0.030
Th 0.750 0.030 0.970

SG: C2/c, No. 15
DOS(E_F) in states/eV/cell: 29.34
Raw total energy in eV/atom: -4.824

=====

The following is a PBE calculation of crystalline ScTaSe2 at its relaxed geometry, from Alexandria via LeMat-Bulk.

a b c (Å): 5.107 3.428 4.356
angles (deg): 89.98 90.00 90.00
Positions (direct):
Sc 0.500 0.875 0.779
Se 0.000 0.874 0.944
Se 0.500 0.375 0.303
Ta 0.000 0.375 0.474

SG: Pmm2, No. 25
DOS(E_F) in states/eV/cell: 2.59
ΔE_f (raw) in meV per atom: -749
ΔE to the lowest computed polymorph in meV/atom: 151
Raw total energy in eV/atom: -7.037

=====

The following is a PBE calculation of crystalline Pr2SmTm5Th at its relaxed geometry, from Alexandria via LeMat-Bulk.

a b c (Å): 8.675 8.675 9.849
angles (deg): 116.13 116.13 90.00
Positions (direct):
Pr 0.117 0.383 0.000
Pr 0.617 0.117 0.000
Pr 0.383 0.883 0.000
Pr 0.883 0.617 0.000
Sm 0.250 0.750 0.500
Sm 0.750 0.250 0.500
Tm 0.927 0.427 0.280
Tm 0.646 0.146 0.720
Tm 0.073 0.573 0.720
Tm 0.146 0.073 0.720
Tm 0.573 0.646 0.720
Tm 0.854 0.927 0.280
Tm 0.427 0.354 0.280
Tm 0.354 0.854 0.280
Tm 0.500 0.500 0.000
Tm 0.000 0.000 0.000
Th 0.250 0.250 0.500
Th 0.750 0.750 0.500

SG: I4/mcm, No. 140
DOS(E_F) in states/eV/cell: 21.94
Raw total energy in eV/atom: -4.608

=====

The following is a PBE calculation of crystalline AlAgGe at its relaxed geometry, from Alexandria via LeMat-Bulk.

a b c (Å): 4.654 6.471 4.687
angles (deg): 68.69 120.26 98.66
Positions (direct):
Ge 0.564 0.755 0.536
Ge 0.273 0.131 0.704
Al 0.591 0.185 0.335
Al 0.246 0.700 0.905
Ag 0.919 0.293 0.945
Ag 0.918 0.592 0.295

SG: P-1, No. 2
DOS(E_F) in states/eV/cell: 0.75
Raw total energy in eV/atom: -3.628

=====

The following is a PBE calculation of crystalline KLi2Y at its relaxed geometry, from Alexandria via LeMat-Bulk.

a b c (Å): 3.457 3.457 11.514
angles (deg): 90.00 90.00 109.48
Positions (direct):
K 0.500 0.500 0.765
Li 0.000 0.000 0.048
Li 0.500 0.500 0.233
Y 0.000 0.000 0.454

SG: Cmm2, No. 35
DOS(E_F) in states/eV/cell: 3.27
Raw total energy in eV/atom: -2.579

=====

The following is a PBE calculation of crystalline RbGePt2 at its relaxed geometry, from Alexandria via LeMat-Bulk.

a b c (Å): 4.424 4.424 6.755
angles (deg): 70.88 70.88 60.00
Positions (direct):
Ge 0.500 0.500 0.500
Rb 0.000 0.000 0.000
Pt 0.812 0.812 0.564
Pt 0.188 0.188 0.436

SG: R-3m, No. 166
DOS(E_F) in states/eV/cell: 2.28
Raw total energy in eV/atom: -4.732

=====

The following is a PBE calculation of crystalline Sm3Ho2Tm at its relaxed geometry, from Alexandria via LeMat-Bulk.

a b c (Å): 6.210 6.210 11.550
angles (deg): 90.00 90.00 120.00
Positions (direct):
Sm 0.668 0.668 0.750
Sm 0.000 0.332 0.750
Sm 0.332 0.000 0.750
Sm 0.332 0.332 0.250
Sm 0.000 0.668 0.250
Sm 0.668 0.000 0.250
Ho 0.667 0.333 0.000
Ho 0.333 0.667 0.500
Ho 0.333 0.667 0.000
Ho 0.667 0.333 0.500
Tm 0.000 0.000 0.000
Tm 0.000 0.000 0.500

SG: P6_3/mcm, No. 193
DOS(E_F) in states/eV/cell: 13.85
ΔE to the lowest computed polymorph in meV/atom: 12
Raw total energy in eV/atom: -4.612

=====

The following is a PBE calculation of crystalline PrHgBiPb at its relaxed geometry, from Alexandria via LeMat-Bulk.

a b c (Å): 4.840 4.743 5.066
angles (deg): 90.00 90.00 90.00
Positions (direct):
Pr 0.500 0.000 0.500
Hg 0.000 0.000 0.000
Bi 0.000 0.500 0.500
Pb 0.500 0.500 0.000

SG: Pmmm, No. 47
DOS(E_F) in states/eV/cell: 2.21
ΔE to the lowest computed polymorph in meV/atom: 0
Raw total energy in eV/atom: -3.608

=====

The following is a PBE calculation of crystalline Mg3ZrB at its relaxed geometry, from Alexandria via LeMat-Bulk.

a b c (Å): 5.639 5.639 5.639
angles (deg): 90.00 90.00 90.00
Site moments in Bohr magnetons follow the coordinates.
Positions (direct):
Mg 0.000 0.500 0.000  0.04
Mg 0.000 0.000 0.500  0.01
Mg 0.500 0.000 0.000  0.07
B 0.500 0.500 0.500  0.08
Zr 0.000 0.000 0.000  1.45

SG: Pm-3m, No. 221
DOS(E_F) in states/eV/cell: 6.93
ΔE to the lowest computed polymorph in meV/atom: 1576
Raw total energy in eV/atom: -1.963

=====

The following is a PBE calculation of crystalline BaNa2Hg6 at its relaxed geometry, from Alexandria via LeMat-Bulk.

a b c (Å): 3.729 9.011 9.011
angles (deg): 120.00 90.00 90.00
Positions (direct):
Ba 0.000 0.000 0.000
Na 0.000 0.333 0.667
Na 0.000 0.667 0.333
Hg 0.500 0.339 0.339
Hg 0.500 0.661 0.661
Hg 0.500 0.000 0.661
Hg 0.500 0.661 0.000
Hg 0.500 0.339 0.000
Hg 0.500 0.000 0.339

SG: P6/mmm, No. 191
DOS(E_F) in states/eV/cell: 5.10
ΔE to the lowest computed polymorph in meV/atom: 8
Raw total energy in eV/atom: -1.001